A plane-wave DFT calculation with PBE was carried out for Zr2Be16Os after structural relaxation.

VASP energy, eV per atom: -4.87
ΔH_f (0 K), kcal/mol of atoms: -5.64
Fermi-level density of states, states/eV/cell: 13.61

Cell lengths 7.6801, 7.6801, 11.1115 Å; angles 90.00, 90.00, 120.00 degrees
Space group R3m (No. 160, hexagonal axes)
Symmetry-distinct sites (fractional):
Zr1 0.0000 0.0000 0.0000
Zr2 0.0000 0.0000 0.3163
Be1 0.0000 0.0000 0.7641
Be2 0.9998 0.2838 0.6539
Be3 0.0004 0.5002 0.8119
Be4 0.0017 0.5009 0.1562
Be5 0.1675 0.3350 0.8323
Os1 0.0000 0.0000 0.5615

A plane-wave DFT calculation with PBE was carried out for BaAs2Pd2 after structural relaxation.

VASP energy, eV per atom: -5.01
ΔH_f (0 K), kcal/mol of atoms: -15.95
Fermi-level density of states, states/eV/cell: 2.87

Cell lengths 4.772, 4.772, 9.968 Å; angles 90.00, 90.00, 90.00 degrees
Space group I4/mmm (No. 139)
Symmetry-distinct sites (fractional):
Ba1 0.000 0.000 0.000
As1 0.000 0.500 0.250
Pd1 0.000 0.000 0.348

A plane-wave DFT calculation with PBE was carried out for Zn2FeRe after structural relaxation.

VASP energy, eV per atom: -5.64
ΔH_f (0 K), kcal/mol of atoms: 5.25
Fermi-level density of states, states/eV/cell: 2.95

Cell lengths 2.931, 4.313, 4.341 Å; angles 90.00, 90.00, 90.00 degrees
Space group Pmmm (No. 47)
Symmetry-distinct sites (fractional):
Zn1 0.000 0.000 0.000
Zn2 0.500 0.500 0.000
Fe1 0.000 0.500 0.500
Re1 0.500 0.000 0.500

A plane-wave DFT calculation with PBE was carried out for ThO after structural relaxation.

VASP energy, eV per atom: -8.81
Formation energy without anion corrections, kJ per mole of atoms: -252.9
Fermi-level density of states, states/eV/cell: 1.90

Cell lengths 5.106, 5.106, 5.106 Å; angles 90.00, 90.00, 90.00 degrees
Space group Fm-3m (No. 225)
Symmetry-distinct sites (fractional):
Th1 0.000 0.000 0.000
O1 0.000 0.000 0.500

A plane-wave DFT calculation with PBE was carried out for AgAu after structural relaxation.

VASP energy, eV per atom: -3.09
ΔH_f (0 K), kcal/mol of atoms: -0.56
Fermi-level density of states, states/eV/cell: 2.06

Cell lengths 10.946, 2.889, 5.079 Å; angles 90.00, 116.22, 90.00 degrees
Space group C2/m (No. 12)
Symmetry-distinct sites (fractional):
Ag1 0.123 0.000 0.290
Au1 0.126 0.500 0.791

A plane-wave DFT calculation with PBE was carried out for HfMnH3 after structural relaxation.

VASP energy, eV per atom: -5.67
Fermi-level density of states, states/eV/cell: 1.94

Cell lengths 3.724, 3.724, 3.724 Å; angles 90.00, 90.00, 90.00 degrees
Space group Pm-3m (No. 221)
Symmetry-distinct sites (fractional):
Hf1 0.000 0.000 0.000
Mn1 0.500 0.500 0.500
H1 0.000 0.000 0.500

A plane-wave DFT calculation with PBE was carried out for CuNiAg2 after structural relaxation.

VASP energy, eV per atom: -3.71
ΔH_f (0 K), kcal/mol of atoms: 4.37
Fermi-level density of states, states/eV/cell: 3.99

Cell lengths 2.901, 4.493, 8.998 Å; angles 90.00, 90.00, 90.00 degrees
Space group Imm2 (No. 44)
Symmetry-distinct sites (fractional):
Cu1 0.000 0.000 0.000
Ni1 0.000 0.500 0.720
Ag1 0.000 0.000 0.472
Ag2 0.000 0.500 0.246

A plane-wave DFT calculation with PBE was carried out for KRbF2 after structural relaxation.

VASP energy, eV per atom: -4.12
Formation energy without anion corrections, kJ per mole of atoms: -257.1
Fermi-level density of states, states/eV/cell: 0.00

Cell lengths 3.8535, 3.8535, 20.1285 Å; angles 90.00, 90.00, 120.00 degrees
Space group R3m (No. 160, hexagonal axes)
Symmetry-distinct sites (fractional):
K1 0.0000 0.0000 0.0000
Rb1 0.0000 0.0000 0.8294
F1 0.0000 0.0000 0.4104
F2 0.0000 0.0000 0.5861

A plane-wave DFT calculation with PBE was carried out for Mg3TcH after structural relaxation.

VASP energy, eV per atom: -2.46
Fermi-level density of states, states/eV/cell: 7.74

Cell lengths 5.164, 5.164, 5.164 Å; angles 90.00, 90.00, 90.00 degrees
Space group Pm-3m (No. 221)
Symmetry-distinct sites (fractional):
Mg1 0.000 0.000 0.500
Tc1 0.000 0.000 0.000
H1 0.500 0.500 0.500

A plane-wave DFT calculation with PBE was carried out for NaPmTeO6 after structural relaxation.

VASP energy, eV per atom: -5.87
Formation energy without anion corrections, kJ per mole of atoms: -148.4
Fermi-level density of states, states/eV/cell: 5.13

Cell lengths 5.6340, 5.6340, 4.8893 Å; angles 90.00, 90.00, 120.00 degrees
Space group P312 (No. 149)
Symmetry-distinct sites (fractional):
Na1 0.0000 0.0000 0.0000
Pm1 0.6667 0.3333 0.5000
Te1 0.3333 0.6667 0.0000
O1 0.0360 0.3944 0.2202

A plane-wave DFT calculation with PBE was carried out for YZrCu2 after structural relaxation.

VASP energy, eV per atom: -5.90
ΔH_f (0 K), kcal/mol of atoms: -2.34
Fermi-level density of states, states/eV/cell: 19.08

Cell lengths 6.758, 6.758, 6.758 Å; angles 90.00, 90.00, 90.00 degrees
Space group Fm-3m (No. 225)
Symmetry-distinct sites (fractional):
Y1 0.000 0.000 0.000
Zr1 0.000 0.000 0.500
Cu1 0.250 0.250 0.250

A plane-wave DFT calculation with PBE was carried out for V2InRhC after structural relaxation.

VASP energy, eV per atom: -6.33
ΔH_f (0 K), kcal/mol of atoms: 27.22
Fermi-level density of states, states/eV/cell: 5.64

Cell lengths 4.788, 4.788, 3.811 Å; angles 90.00, 90.00, 90.00 degrees
Space group P4/mmm (No. 123)
Symmetry-distinct sites (fractional):
V1 0.000 0.500 0.000
In1 0.000 0.000 0.500
Rh1 0.500 0.500 0.000
C1 0.500 0.500 0.500

> VASP energy of number 6 (HfMnH3)?

-5.67 eV per atom